{"formula": "FeSbPb2N", "functional": "PBE", "state": "relaxed", "space_group": "P4/mmm", "lattice": [[5.600, 0.000, 0.000], [0.000, 5.600, 0.000], [0.000, 0.000, 3.465]], "species": ["Fe", "Sb", "Pb", "Pb", "N"], "fractional_positions": [[0.000, 0.000, 0.000], [0.500, 0.500, 0.500], [0.000, 0.500, 0.000], [0.500, 0.000, 0.000], [0.000, 0.000, 0.500]]}


{"formula": "KTiBrCl4", "functional": "PBE", "state": "relaxed", "space_group": "C2/m", "lattice": [[5.489, -5.110, 0.000], [5.489, 5.110, 0.000], [-2.260, 0.000, 9.408]], "species": ["K", "K", "Ti", "Ti", "Br", "Br", "Cl", "Cl", "Cl", "Cl", "Cl", "Cl", "Cl", "Cl"], "fractional_positions": [[0.228, 0.228, 0.194], [0.772, 0.772, 0.806], [0.293, 0.293, 0.749], [0.707, 0.707, 0.251], [0.093, 0.093, 0.840], [0.907, 0.907, 0.160], [0.155, 0.536, 0.865], [0.178, 0.178, 0.524], [0.464, 0.845, 0.135], [0.478, 0.478, 0.676], [0.522, 0.522, 0.324], [0.536, 0.155, 0.865], [0.822, 0.822, 0.476], [0.845, 0.464, 0.135]]}


{"formula": "Hf6In3Rh", "functional": "PBE", "state": "relaxed", "space_group": "P2_1/c", "formation_enthalpy_0k_kj_per_mol_atoms": -4, "lattice": [[5.313, 0.000, 0.000], [0.000, 8.914, 0.000], [-5.174, 0.000, 9.525]], "species": ["Hf", "Hf", "Hf", "Hf", "Hf", "Hf", "Hf", "Hf", "Hf", "Hf", "Hf", "Hf", "In", "In", "In", "In", "In", "In", "Rh", "Rh"], "fractional_positions": [[0.014, 0.210, 0.433], [0.014, 0.290, 0.933], [0.373, 0.126, 0.233], [0.373, 0.374, 0.733], [0.382, 0.669, 0.468], [0.382, 0.831, 0.968], [0.618, 0.169, 0.032], [0.618, 0.331, 0.532], [0.627, 0.626, 0.267], [0.627, 0.874, 0.767], [0.986, 0.710, 0.067], [0.986, 0.790, 0.567], [0.113, 0.079, 0.736], [0.113, 0.421, 0.236], [0.500, 0.000, 0.500], [0.500, 0.500, 0.000], [0.887, 0.579, 0.764], [0.887, 0.921, 0.264], [0.000, 0.000, 0.000], [0.000, 0.500, 0.500]]}


{"formula": "LaCdI2N", "functional": "PBE", "state": "relaxed", "space_group": "P4/mmm", "polymorph_energy_mev_per_atom": 0, "lattice": [[6.544, 0.000, 0.000], [0.000, 6.544, 0.000], [0.000, 0.000, 4.185]], "species": ["La", "Cd", "I", "I", "N"], "fractional_positions": [[0.000, 0.000, 0.000], [0.500, 0.500, 0.500], [0.000, 0.500, 0.000], [0.500, 0.000, 0.000], [0.000, 0.000, 0.500]]}


The records above give, respectively, spin magnetization values of 0.00, 0.00, 0.00, 0.31 μB per cell.
The records above give, respectively, final energy values of -0.1991, -0.1534, -0.2784, -0.1384 hartree per atom.